Here is a relaxed CoAgAsO crystal from the Open Quantum Materials Database. Energies are from PBE+U.

Cell and atoms, written as CIF:
```
data_CoAgAsO
_chemical_formula_sum 'Co2 Ag2 As2 O2'
_cell_length_a 3.9059
_cell_length_b 3.9059
_cell_length_c 8.9996
_cell_angle_alpha 90.00
_cell_angle_beta 90.00
_cell_angle_gamma 90.00
_space_group_name_H-M_alt 'P 4/n m m'
_space_group_IT_number 129
loop_
_space_group_symop_operation_xyz
'x,y,z'
'-x,-y,-z'
'-y+1/2,x,z'
'y+1/2,-x,-z'
'-x+1/2,-y+1/2,z'
'x+1/2,y+1/2,-z'
'y,-x+1/2,z'
'-y,x+1/2,-z'
'x+1/2,-y,-z'
'-x+1/2,y,z'
'-y,-x,-z'
'y,x,z'
'-x,y+1/2,-z'
'x,-y+1/2,z'
'y+1/2,x+1/2,-z'
'-y+1/2,-x+1/2,z'
loop_
_atom_site_label
_atom_site_fract_x
_atom_site_fract_y
_atom_site_fract_z
_atom_site_occupancy
Co1 0.2500 0.2500 0.0594 1
Ag1 0.2500 0.7500 0.5000 1
As1 0.2500 0.2500 0.7023 1
O1 0.2500 0.7500 0.0000 1
```

Spin magnetization in μB/f.u.: 2.7
Energy above the lowest structure with this stoichiometry in kJ per mole of atoms: 9.0